PaMo2PbO8 after structural relaxation. Source: the Alexandria database, functional PBE+U.

abc: 5.373 5.373 11.600
angles: 90.00 90.00 90.00
Space group I-4 (No. 82)
One atom of each set of equivalent atoms:
Pa1 0.000 0.000 0.000 (multiplicity 2)
Mo1 0.000 0.000 0.500 (multiplicity 2)
Mo2 0.000 0.500 0.750 (multiplicity 2)
Pb1 0.000 0.500 0.250 (multiplicity 2)
O1 0.163 0.746 0.838 (multiplicity 8)
O2 0.202 0.262 0.426 (multiplicity 8)

Density ... 7.5 g cm⁻³
M_tot ... 3.0 μB/f.u.
VASP energy ... -7.608 eV/atom